! UCo3Cl2O6 (PBE+U, optimized geometry); values from VASP
&SYSTEM
  ibrav = 0, nat = 12, ntyp = 4
/
ATOMIC_SPECIES
U 238.03 U.upf
Co 58.93 Co.upf
Cl 35.45 Cl.upf
O 16.00 O.upf
ATOMIC_POSITIONS crystal
U 0.000 0.000 0.000
Co 0.000 0.500 0.000
Co 0.500 0.000 0.000
Co 0.500 0.500 0.500
Cl 0.301 0.301 0.710
Cl 0.699 0.699 0.290
O 0.181 0.677 0.213
O 0.201 0.201 0.176
O 0.323 0.819 0.787
O 0.677 0.181 0.213
O 0.799 0.799 0.824
O 0.819 0.323 0.787
CELL_PARAMETERS angstrom
5.332 -2.980 0.000
5.332 2.980 0.000
-1.217 0.000 5.046
! electronic total energy: -6.4662 eV per atom
! calculated volume: 160.4 Å³ per cell
! crystal system: monoclinic
! size of the total moment: 3.0 μB per formula unit